No. 1
{"formula": "AgAuI3", "functional": "PBE", "state": "optimized geometry", "formation_energy_uncorrected_mev_per_atom": -63.3, "e_tot_ev_per_cell": -44.4, "sg": "P2_1/c (14)", "magmom_total_mub_per_cell": 0.00, "lattice_angstrom": [[9.582, 0.000, 0.000], [0.000, 5.734, 0.000], [-1.784, 0.000, 14.323]], "species": ["Ag", "Ag", "Ag", "Ag", "Au", "Au", "Au", "Au", "I", "I", "I", "I", "I", "I", "I", "I", "I", "I", "I", "I"], "fractional_positions": [[0.163, 0.028, 0.271], [0.163, 0.472, 0.771], [0.837, 0.528, 0.229], [0.837, 0.972, 0.729], [0.242, 0.600, 0.058], [0.242, 0.900, 0.558], [0.758, 0.100, 0.442], [0.758, 0.400, 0.942], [0.002, 0.701, 0.618], [0.002, 0.799, 0.118], [0.287, 0.690, 0.403], [0.287, 0.810, 0.903], [0.355, 0.203, 0.682], [0.355, 0.297, 0.182], [0.645, 0.703, 0.818], [0.645, 0.797, 0.318], [0.713, 0.190, 0.097], [0.713, 0.310, 0.597], [0.998, 0.201, 0.882], [0.998, 0.299, 0.382]]}



No. 2
{"formula": "Ag2AuI3", "functional": "PBE", "state": "optimized geometry", "formation_energy_uncorrected_mev_per_atom": -166.0, "e_tot_ev_per_cell": -29.3, "sg": "P-1 (2)", "magmom_total_mub_per_cell": 0.00, "lattice_angstrom": [[7.559, 0.000, 0.000], [3.449, 8.118, 0.000], [2.538, 3.397, 7.773]], "species": ["Ag", "Ag", "Ag", "Ag", "Au", "Au", "I", "I", "I", "I", "I", "I"], "fractional_positions": [[0.178, 0.306, 0.058], [0.286, 0.958, 0.998], [0.714, 0.042, 0.002], [0.822, 0.694, 0.942], [0.177, 0.648, 0.050], [0.823, 0.352, 0.950], [0.095, 0.936, 0.766], [0.241, 0.354, 0.327], [0.433, 0.263, 0.773], [0.567, 0.737, 0.227], [0.759, 0.646, 0.673], [0.905, 0.064, 0.234]]}



No. 3
{"formula": "Ag2AuI6", "functional": "PBE", "state": "optimized geometry", "formation_energy_uncorrected_mev_per_atom": -31.4, "e_tot_ev_per_cell": -37.1, "sg": "C2/c (15)", "magmom_total_mub_per_cell": 0.00, "lattice_angstrom": [[6.946, -8.475, 0.000], [6.946, 8.475, 0.000], [-4.001, 0.000, 6.378]], "species": ["Ag", "Ag", "Ag", "Ag", "Au", "Au", "I", "I", "I", "I", "I", "I", "I", "I", "I", "I", "I", "I"], "fractional_positions": [[0.180, 0.317, 0.419], [0.317, 0.180, 0.919], [0.683, 0.820, 0.081], [0.820, 0.683, 0.581], [0.252, 0.748, 0.750], [0.748, 0.252, 0.250], [0.083, 0.794, 0.932], [0.161, 0.334, 0.790], [0.206, 0.917, 0.568], [0.304, 0.581, 0.450], [0.334, 0.161, 0.290], [0.419, 0.696, 0.050], [0.581, 0.304, 0.950], [0.666, 0.839, 0.710], [0.696, 0.419, 0.550], [0.794, 0.083, 0.432], [0.839, 0.666, 0.210], [0.917, 0.206, 0.068]]}